Density functional theory data (PBE) for ZnPbO3 after structural relaxation.

Summary:
- Space-group type: Pnma (62)

Geometry as extended XYZ:
```
20
Lattice="5.318 0.000 0.000 0.000 5.542 0.000 0.000 0.000 8.013" Properties=species:S:1:pos:R:3 pbc="T T T"
O 3.690 1.701 0.600
O 0.754 2.357 2.003
O 1.030 1.070 7.413
O 1.906 5.128 2.003
O 1.629 3.841 4.607
O 4.288 4.472 0.600
O 4.565 3.185 6.010
O 3.690 1.701 3.406
O 4.288 4.472 3.406
O 1.030 1.070 4.607
O 3.413 0.414 6.010
O 1.629 3.841 7.413
Zn 2.659 0.000 4.007
Zn 0.000 2.771 4.007
Zn 0.000 2.771 0.000
Zn 2.659 0.000 0.000
Pb 2.817 3.122 2.003
Pb 5.161 0.351 2.003
Pb 2.502 2.420 6.010
Pb 0.158 5.191 6.010
```



Density functional theory data (PBE) for Zn2PbO4 after structural relaxation.

Summary:
- Space-group type: Fd-3m (227)

Geometry as extended XYZ:
```
14
Lattice="4.423 -4.423 0.000 -4.423 0.000 -4.423 4.423 4.423 0.000" Properties=species:S:1:pos:R:3 pbc="T T T"
Pb 0.000 0.000 0.000
Pb 2.211 -2.212 -2.212
Zn 5.529 -1.106 -1.106
Zn 3.317 1.106 -1.106
Zn 1.106 1.106 -3.317
Zn -1.106 -1.106 -3.317
O -0.998 0.998 -3.426
O 3.210 3.209 -1.214
O 5.421 0.998 -0.998
O 1.213 3.209 -3.209
O 3.210 1.214 -3.209
O 3.425 -0.998 -0.998
O 1.213 1.214 -1.214
O 0.998 -0.998 -3.426
```



Density functional theory data (PBE) for ZnPbO3 after structural relaxation.

Summary:
- Space-group type: R3c (161)

Geometry as extended XYZ:
```
10
Lattice="2.729 1.576 4.765 -2.729 1.576 4.765 0.000 -3.151 4.765" Properties=species:S:1:pos:R:3 pbc="T T T"
O 0.736 1.701 7.961
O -0.887 1.363 5.579
O -0.736 -1.450 5.579
O 1.105 -1.489 7.961
O 1.624 0.087 5.579
O -1.842 -0.213 7.961
Pb 0.000 0.000 11.146
Pb 0.000 0.000 3.998
Zn 0.000 0.000 7.133
Zn 0.000 0.000 14.281
```



no.,E (eV per atom)
1,-4.96
2,-4.84
3,-5.01